# 1
## HfThAu (PBE)

Data for an optimized crystal structure of HfThAu.

Values from the calculation:
ΔE_f = 441 meV per atom

abc: 4.7903 4.7903 4.7903
angles: 60.00 60.00 60.00
With the nearest neighbours (Å) after each atom.
Atoms (fractional coordinates):
Hf: 0.0000 0.0000 0.0000  4 Th 2.93, 4 Au 2.93
Th: 0.2500 0.2500 0.2500  4 Hf 2.93
Au: 0.7500 0.7500 0.7500  4 Hf 2.93

***

# 2
## HfTl2Au (PBE)

Data for an optimized crystal structure of HfTl2Au.

abc: 5.0296 5.0296 5.0296
angles: 60.00 60.00 60.00
With the nearest neighbours (Å) after each atom.
Atoms (fractional coordinates):
Hf: 0.0000 0.0000 0.0000  4 Tl 3.08, 4 Au 3.08
Tl: 0.5000 0.5000 0.5000  4 Tl 3.08, 4 Au 3.08
Tl: 0.7500 0.7500 0.7500  4 Tl 3.08, 4 Hf 3.08
Au: 0.2500 0.2500 0.2500  4 Tl 3.08, 4 Hf 3.08

***

# 3
## HfTl2Au (PBE)

Data for an optimized crystal structure of HfTl2Au.

abc: 5.0296 5.0296 5.0296
angles: 60.00 60.00 60.00
With the nearest neighbours (Å) after each atom.
Atoms (fractional coordinates):
Hf: 0.0000 0.0000 0.0000  4 Au 3.08, 4 Tl 3.08
Tl: 0.2500 0.2500 0.2500  4 Hf 3.08, 4 Tl 3.08
Tl: 0.5000 0.5000 0.5000  4 Au 3.08, 4 Tl 3.08
Au: 0.7500 0.7500 0.7500  4 Hf 3.08, 4 Tl 3.08

***

# 4
## Hf2TlAu (PBE)

Data for an optimized crystal structure of Hf2TlAu.

abc: 4.9570 4.9570 4.9570
angles: 60.00 60.00 60.00
With the nearest neighbours (Å) after each atom.
Atoms (fractional coordinates):
Hf: 0.0000 0.0000 0.0000  4 Au 3.04, 4 Hf 3.04
Hf: 0.2500 0.2500 0.2500  4 Hf 3.04, 4 Tl 3.04
Tl: 0.5000 0.5000 0.5000  4 Au 3.04, 4 Hf 3.04
Au: 0.7500 0.7500 0.7500  4 Hf 3.04, 4 Tl 3.04

***

# 5
## TmHfAu (PBE)

Data for an optimized crystal structure of TmHfAu.

Values from the calculation:
ΔE_f = 620 meV per atom

abc: 4.7319 4.7319 4.7319
angles: 60.00 60.00 60.00
With the nearest neighbours (Å) after each atom.
Atoms (fractional coordinates):
Tm: 0.0000 0.0000 0.0000  4 Hf 2.90, 4 Au 2.90
Hf: 0.2500 0.2500 0.2500  4 Tm 2.90
Au: 0.7500 0.7500 0.7500  4 Tm 2.90

***

# 6
## TmHfAu4 (PBE)

Data for an optimized crystal structure of TmHfAu4.

Values from the calculation:
ΔE_f = -732 meV per atom

abc: 3.6169 3.6169 8.8738
angles: 90.00 90.00 90.00
With the nearest neighbours (Å) after each atom.
Atoms (fractional coordinates):
Tm: 0.0000 0.0000 0.0000  10 Au 2.97-3.01
Hf: 0.5000 0.5000 0.5000  10 Au 2.92-2.93
Au: 0.0000 0.0000 0.3395  5 Au 2.85-2.96, 4 Hf 2.93, 1 Tm 3.01
Au: 0.0000 0.0000 0.6605  5 Au 2.85-2.96, 4 Hf 2.93, 1 Tm 3.01
Au: 0.5000 0.5000 0.1712  1 Hf 2.92, 5 Au 2.96-3.04, 4 Tm 2.97
Au: 0.5000 0.5000 0.8288  1 Hf 2.92, 5 Au 2.96-3.04, 4 Tm 2.97

***

Summary of E_tot in Ry/atom
-0.473, -0.312, -0.312, -0.448, -0.388, -0.391
(order as listed above)
Summary of magnetization in μB per cell
0.5, 0.0, 0.0, 1.9, 0.5, 0.0
(order as listed above)